(1)
Entry from Alexandria via LeMat-Bulk: a relaxed structure of ZrNbS2N (PBE).

Energy above the most stable polymorph in this dataset (meV/atom): 422
Space-group type: P4/mmm
E_form (uncorrected) (eV/atom): 0.10
Magnetization (μB per formula unit): 2.3

Cell and atoms, written as extended XYZ:
```
5
Lattice="-1.4001 2.9937 -3.7670 2.8782 -2.6229 -3.1542 -3.0866 -2.4373 -0.7897" Properties=species:S:1:pos:R:3 pbc="T T T"
S 1.4391 -1.3115 -1.5771
Nb -0.8042 -1.0332 -3.8555
S -0.7000 1.4969 -1.8835
N -1.5433 -1.2186 -0.3949
Zr 0.0000 0.0000 0.0000
```

=====

(2)
Entry from Alexandria via LeMat-Bulk: a relaxed structure of NdDyZnHg (PBE).

Energy of formation from the pure elements (eV per atom): -0.404
Energy above the most stable polymorph in this dataset (meV/atom): 0
Space-group type: P4mm
Magnetization (μB per formula unit): 0.0

Cell and atoms, written as extended XYZ:
```
4
Lattice="-1.8845 -1.1347 2.9264 0.6510 -3.4804 -0.9303 6.3424 0.0858 4.1175" Properties=species:S:1:pos:R:3 pbc="T T T"
Dy 3.1310 -2.2569 3.4311
Nd 0.1746 -2.2969 1.5118
Hg 5.3234 0.0720 3.4559
Zn 2.3655 0.0320 1.5357
```

=====

(3)
Entry from Alexandria via LeMat-Bulk: a relaxed structure of KAgRu2O8 (PBE).

Space-group type: C2/m
E_form (uncorrected) (eV/atom): -0.82
Magnetization (μB per formula unit): 0.0

Cell and atoms, written as extended XYZ:
```
12
Lattice="5.8671 0.0000 0.0000 2.9336 5.4382 0.3691 2.9336 2.3885 6.5387" Properties=species:S:1:pos:R:3 pbc="T T T"
O 5.8671 4.4032 6.0697
O 7.3692 7.0746 5.3038
Ru 8.8007 6.0990 5.6446
O 10.2322 7.0746 5.3038
O 5.8672 3.4235 0.8381
O 4.3651 0.7521 1.6040
K 5.8671 3.9133 3.4539
Ag 0.0000 0.0000 0.0000
Ru 2.9336 1.7277 1.2633
O 8.8007 4.5297 4.8795
O 1.5020 0.7521 1.6040
O 2.9336 3.2970 2.0283
```

=====

(4)
Entry from Alexandria via LeMat-Bulk: a relaxed structure of LaCd2Pd8 (PBE).

Energy of formation from the pure elements (eV per atom): -0.441
Space-group type: C2/m
Magnetization (μB per formula unit): 0.0

Cell and atoms, written as extended XYZ:
```
11
Lattice="4.2075 0.0000 0.0000 0.0000 6.4618 0.3676 -2.1037 -2.3595 6.9237" Properties=species:S:1:pos:R:3 pbc="T T T"
Pd 0.0000 -0.9361 4.4211
Pd 0.0000 4.4358 0.8564
Cd 2.1037 0.9734 3.9422
La 2.1037 0.0000 0.0000
Pd 0.0000 1.5174 5.8350
Pd 2.1037 3.5264 5.2614
Pd 2.1037 5.0384 2.8702
Cd 0.0000 3.1289 3.3491
Pd 2.1037 -0.3336 6.4350
Pd 2.1037 2.5848 1.4563
Pd 0.0000 0.5759 2.0299
```

=====

(5)
Entry from Alexandria via LeMat-Bulk: a relaxed structure of CsFe2HgBr6 (PBE).

Space-group type: C2/c
E_form (uncorrected) (eV/atom): -0.69
Magnetization (μB per formula unit): 9.0

Cell and atoms, written as extended XYZ:
```
20
Lattice="11.1949 0.4704 2.2289 -0.9037 11.1683 2.2289 -0.9197 -1.0401 6.3859" Properties=species:S:1:pos:R:3 pbc="T T T"
Br -0.7746 7.0239 6.5402
Fe 1.0630 3.0364 3.0971
Br 4.2390 2.3465 6.4924
Hg 3.1932 6.1558 7.0183
Br 10.1462 3.5747 4.3035
Br 1.8458 9.9875 7.4965
Fe 8.3086 7.5623 7.7466
Cs 7.9042 1.9902 7.0183
Br 2.5443 1.2908 2.1898
Br 0.5098 2.1632 5.3827
Fe 6.9480 9.6919 4.5537
Fe 2.4236 0.9067 6.2900
Cs 1.4673 8.6085 3.8254
Br 6.8272 9.3078 8.6539
Br 5.1326 8.2522 4.3513
Br 7.1019 5.5842 7.5442
Br 2.2697 5.0144 3.2994
Br 7.5257 0.6112 3.3472
Br 8.8618 8.4355 5.4610
Hg 6.1784 4.4428 3.8254
```

=====

(6)
Entry from Alexandria via LeMat-Bulk: a relaxed structure of LaBiO3 (PBE).

Space-group type: R3c
E_form (uncorrected) (eV/atom): -2.32
Magnetization (μB per formula unit): 0.0

Cell and atoms, written as extended XYZ:
```
10
Lattice="6.2808 0.0093 0.0065 3.1487 5.4346 0.0065 3.1487 1.8178 5.1216" Properties=species:S:1:pos:R:3 pbc="T T T"
O 8.4087 3.8412 1.6819
O 4.3908 3.5482 4.2362
O 6.6868 5.8488 3.0608
O 7.5312 3.3729 4.4939
Bi 6.2914 3.6321 2.5683
Bi 0.0023 0.0013 0.0009
La 2.7572 1.5918 1.1256
La 9.0463 5.2226 3.6929
O 6.6786 1.2139 1.9331
O 5.2683 4.6700 0.5001
```

=====

(7)
Entry from Alexandria via LeMat-Bulk: a relaxed structure of La2Tb7Y (PBE).

Energy of formation from the pure elements (eV per atom): 0.152
Energy above the most stable polymorph in this dataset (meV/atom): 0
Space-group type: Cmmm
Magnetization (μB per formula unit): 0.0

Cell and atoms, written as extended XYZ:
```
10
Lattice="3.5220 0.0000 0.0000 0.0000 14.1133 -4.8001 0.0000 -10.6511 10.4298" Properties=species:S:1:pos:R:3 pbc="T T T"
Tb 1.7610 0.2064 5.7323
Tb 1.7610 -1.5604 2.8594
Y 0.0000 0.0000 0.0000
Tb 1.7610 1.7311 2.8149
La 1.7610 6.8298 -0.3208
Tb 1.7610 5.0226 2.7704
Tb 0.0000 9.5457 -1.9911
Tb 0.0000 -6.0835 7.6208
La 1.7610 -3.3676 5.9506
Tb 1.7610 3.2558 -0.1026
```

=====

> Look up the magnetization of the seventh one.

0.0 μB per formula unit